Entry 1:
## Sm6ZnCo2Br3 (PBE-GGA)

Data for an optimized crystal structure of Sm6ZnCo2Br3.

POSCAR file:
```
Sm6ZnCo2Br3
1.0
-2.976 -2.248 5.935
1.208 -4.496 -5.240
7.538 0.729 2.675
Sm Zn Co Br
6 1 2 3
Cartesian
3.959 -4.091 4.686
0.241 -4.609 1.017
1.811 -1.924 -1.315
5.469 -4.902 0.654
5.530 -1.407 2.353
0.301 -1.113 2.717
0.000 0.000 0.000
-0.185 -3.748 -1.517
-1.582 -2.997 2.212
4.286 -3.761 -2.056
1.484 -2.255 5.427
2.885 -3.008 1.685
```

## Properties
Its space group is C2/m, No. 12.



Entry 2:
## Co2Sn2Br (PBE-GGA)

Data for an optimized crystal structure of Co2Sn2Br.

POSCAR file:
```
Co2Sn2Br
1.0
-1.803 -4.465 5.708
1.577 -5.982 -4.182
3.026 0.084 1.021
Co Sn Br
4 4 2
Cartesian
0.707 -6.775 -1.538
-0.548 -7.665 2.254
-0.932 -3.673 3.064
0.323 -2.782 -0.728
2.267 -4.547 -1.347
1.672 -7.941 0.695
0.534 -5.816 3.894
1.129 -2.423 1.852
0.000 0.000 0.000
-0.113 -5.224 0.763
```

## Properties
Its space group is P4/mbm, No. 127.



Entry 3:
## Co2Sn2Br (PBE-GGA)

Data for an optimized crystal structure of Co2Sn2Br.

POSCAR file:
```
Co2Sn2Br
1.0
4.328 0.000 0.000
0.000 4.328 0.000
2.164 2.164 5.372
Co Sn Br
2 2 1
Cartesian
2.164 2.164 1.210
4.328 4.328 4.162
4.328 2.164 2.686
2.164 4.328 2.686
0.000 0.000 0.000
```

## Properties
Its space group is I4/mmm, No. 139.



DOS(E_F) list, top to bottom, in states/eV/atom: 0.67; 0.50; 0.96
Final energy list, top to bottom, in eV/atom: -4.7845; -4.5777; -4.3583